Computed, not measured: an optimized crystal structure of Sm6Ho4Mg at the PBE level of DFT.

* uncorrected energy: -0.1511 hartree per atom
* magnetic moment: 0.0 μB/cell
* formation energy from the elements: 273 meV/atom

a = 9.7384 Å, b = 9.7384 Å, c = 9.7384 Å
α = 140.90°, β = 140.90°, γ = 56.50°
Closest atoms and distances in Å follow each position.
Sites, in units of the cell vectors:
1 Sm 0.0000 0.5000 0.5000  2 Mg 3.26, 4 Sm 3.33
2 Sm 0.1920 0.1920 0.6527  3 Sm 3.20-3.33, 5 Ho 3.34-3.50
3 Sm 0.4607 0.8080 0.0000  3 Sm 3.20-3.33, 5 Ho 3.34-3.50
4 Sm 0.5000 0.0000 0.5000  2 Mg 3.26, 4 Sm 3.33
5 Sm 0.5393 0.5393 0.3473  3 Sm 3.20-3.33, 5 Ho 3.34-3.50
6 Sm 0.8080 0.4607 0.0000  3 Sm 3.20-3.33, 5 Ho 3.34-3.50
7 Ho 0.0112 0.6468 0.0000  5 Sm 3.34-3.50, 1 Ho 3.36, 1 Mg 3.38
8 Ho 0.3532 0.3532 0.3644  5 Sm 3.34-3.50, 1 Ho 3.36, 1 Mg 3.38
9 Ho 0.6468 0.0112 0.0000  5 Sm 3.34-3.50, 1 Ho 3.36, 1 Mg 3.38
10 Ho 0.9888 0.9888 0.6356  5 Sm 3.34-3.50, 1 Ho 3.36, 1 Mg 3.38
11 Mg 0.0000 0.0000 0.0000  4 Sm 3.26, 4 Ho 3.38